No. 1
DFT (PBE) results for crystalline Pm2PuTh3Se6 at its relaxed geometry.

Cell lengths 18.3864, 4.1765, 8.4009 Å; angles 90.00, 104.98, 90.00 degrees
Space group C2/m (No. 12)
Symmetry-distinct sites (fractional):
Pm: 0.1657 0.0000 0.3327 x4
Pu: 0.0000 0.5000 0.0000 x2
Th: 0.0000 0.5000 0.5000 x2
Th: 0.1678 0.0000 0.8366 x4
Se: 0.0001 0.0000 0.2434 x4
Se: 0.1640 0.5000 0.0862 x4
Se: 0.1679 0.5000 0.5827 x4

Properties
Magnetic moment ... 5.403 μB/f.u.
Density of states at the Fermi level ... 0.9421 states/eV per atom
Raw formation energy ... -1.636 eV per atom
Density ... 9.08 Mg/m³
Crystal system ... monoclinic

---

No. 2
DFT (PBE) results for crystalline Pm2PuThSe4 at its relaxed geometry.

Cell lengths 7.2592, 4.1620, 7.2642 Å; angles 90.00, 109.19, 90.00 degrees
Space group P2/m (No. 10)
Symmetry-distinct sites (fractional):
Pm: 0.0000 0.0000 0.0000 x1
Pm: 0.5000 0.5000 0.0000 x1
Pu: 0.0000 0.5000 0.5000 x1
Th: 0.5000 0.0000 0.5000 x1
Se: 0.2459 0.0000 0.7471 x2
Se: 0.2466 0.5000 0.2497 x2

Properties
Magnetic moment ... 5.800 μB/f.u.
Density of states at the Fermi level ... 1.3609 states/eV per atom
Raw formation energy ... -1.689 eV per atom
Density ... 8.67 Mg/m³
Crystal system ... monoclinic

---

No. 3
DFT (PBE) results for crystalline Pm3Pu2ThSe6 at its relaxed geometry.

Cell lengths 18.2310, 4.1595, 8.3978 Å; angles 90.00, 103.50, 90.00 degrees
Space group C2/m (No. 12)
Symmetry-distinct sites (fractional):
Pm: 0.0000 0.0000 0.0000 x2
Pm: 0.1662 0.5000 0.3336 x4
Pu: 0.1665 0.5000 0.8332 x4
Th: 0.0000 0.0000 0.5000 x2
Se: 0.0011 0.5000 0.7528 x4
Se: 0.1683 0.0000 0.0802 x4
Se: 0.1676 0.0000 0.5873 x4

Properties
Magnetic moment ... 11.558 μB/f.u.
Density of states at the Fermi level ... 1.6721 states/eV per atom
Raw formation energy ... -1.696 eV per atom
Density ... 8.74 Mg/m³
Crystal system ... monoclinic

---

No. 4
DFT (PBE) results for crystalline PmPuTh2Se4 at its relaxed geometry.

Cell lengths 7.1708, 4.1522, 7.3568 Å; angles 90.00, 109.09, 90.00 degrees
Space group P2/m (No. 10)
Symmetry-distinct sites (fractional):
Pm: 0.0000 0.0000 0.0000 x1
Pu: 0.5000 0.5000 0.0000 x1
Th: 0.0000 0.5000 0.5000 x1
Th: 0.5000 0.0000 0.5000 x1
Se: 0.2503 0.5000 0.2445 x2
Se: 0.2551 0.0000 0.7580 x2

Properties
Magnetic moment ... 5.572 μB/f.u.
Density of states at the Fermi level ... 1.2587 states/eV per atom
Raw formation energy ... -1.616 eV per atom
Density ... 9.38 Mg/m³
Crystal system ... monoclinic

---

What did the third record say?
DFT (PBE) results for crystalline Pm3Pu2ThSe6 at its relaxed geometry.

Cell lengths 18.2310, 4.1595, 8.3978 Å; angles 90.00, 103.50, 90.00 degrees
Space group C2/m (No. 12)
Symmetry-distinct sites (fractional):
Pm: 0.0000 0.0000 0.0000 x2
Pm: 0.1662 0.5000 0.3336 x4
Pu: 0.1665 0.5000 0.8332 x4
Th: 0.0000 0.0000 0.5000 x2
Se: 0.0011 0.5000 0.7528 x4
Se: 0.1683 0.0000 0.0802 x4
Se: 0.1676 0.0000 0.5873 x4

Properties
Magnetic moment ... 11.558 μB/f.u.
Density of states at the Fermi level ... 1.6721 states/eV per atom
Raw formation energy ... -1.696 eV per atom
Density ... 8.74 Mg/m³
Crystal system ... monoclinic